Below is an optimized crystal structure of TcNiPt2, with properties calculated at the PBEsol level.

Cell and atoms, written as POSCAR:
```
TcNiPt2
1.0
3.753 0.000 0.000
0.000 3.753 0.000
0.000 0.000 7.679
Tc Ni Pt
2 2 4
Direct
0.000 0.000 0.000 Tc
0.500 0.500 0.500 Tc
0.000 0.000 0.500 Ni
0.500 0.500 0.000 Ni
0.000 0.500 0.250 Pt
0.000 0.500 0.750 Pt
0.500 0.000 0.250 Pt
0.500 0.000 0.750 Pt
```

Properties
energy	-63.75	eV/cell
SG	No. 139
energy above the most stable polymorph in this dataset	12	kJ/mol of formula units
calculated volume	13.52	Å³ per atom

---

Below is an optimized crystal structure of TcNiPt2, with properties calculated at the PBEsol level.

Cell and atoms, written as POSCAR:
```
TcNiPt2
1.0
2.685 0.000 0.000
0.000 2.685 0.000
0.000 0.000 7.502
Tc Ni Pt
1 1 2
Direct
0.000 0.000 0.000 Tc
0.500 0.500 0.224 Ni
0.000 0.000 0.464 Pt
0.500 0.500 0.743 Pt
```

Properties
energy	-31.82	eV/cell
SG	No. 99
energy above the most stable polymorph in this dataset	17	kJ/mol of formula units
calculated volume	13.53	Å³ per atom

---

Below is an optimized crystal structure of Tc2NiPt, with properties calculated at the PBEsol level.

Cell and atoms, written as POSCAR:
```
Tc2NiPt
1.0
6.019 0.000 0.000
0.000 6.019 0.000
0.000 0.000 6.019
Tc Ni Pt
8 4 4
Direct
0.250 0.250 0.250 Tc
0.250 0.250 0.750 Tc
0.250 0.750 0.250 Tc
0.250 0.750 0.750 Tc
0.750 0.250 0.250 Tc
0.750 0.250 0.750 Tc
0.750 0.750 0.250 Tc
0.750 0.750 0.750 Tc
0.000 0.000 0.000 Ni
0.000 0.500 0.500 Ni
0.500 0.000 0.500 Ni
0.500 0.500 0.000 Ni
0.000 0.000 0.500 Pt
0.000 0.500 0.000 Pt
0.500 0.000 0.000 Pt
0.500 0.500 0.500 Pt
```

Properties
energy	-136.76	eV/cell
SG	No. 225
calculated volume	13.63	Å³ per atom

---

Below is an optimized crystal structure of TcNiPt2, with properties calculated at the PBEsol level.

Cell and atoms, written as POSCAR:
```
TcNiPt2
1.0
3.759 0.000 0.000
0.000 3.759 0.000
0.000 0.000 7.680
Tc Ni Pt
2 2 4
Direct
0.000 0.000 0.000 Tc
0.500 0.500 0.500 Tc
0.000 0.500 0.250 Ni
0.500 0.000 0.750 Ni
0.000 0.000 0.500 Pt
0.000 0.500 0.750 Pt
0.500 0.000 0.250 Pt
0.500 0.500 0.000 Pt
```

Properties
energy	-63.42	eV/cell
SG	No. 119
energy above the most stable polymorph in this dataset	27	kJ/mol of formula units
calculated volume	13.57	Å³ per atom

---

Below is an optimized crystal structure of TcNiPt2, with properties calculated at the PBEsol level.

Cell and atoms, written as POSCAR:
```
TcNiPt2
1.0
2.672 0.000 0.000
0.000 4.341 0.000
0.000 0.000 4.702
Tc Ni Pt
1 1 2
Direct
0.000 0.000 0.000 Tc
0.000 0.500 0.687 Ni
0.500 0.000 0.516 Pt
0.500 0.500 0.176 Pt
```

Properties
energy	-31.68	eV/cell
SG	No. 25
energy above the most stable polymorph in this dataset	31	kJ/mol of formula units
calculated volume	13.63	Å³ per atom

---

Below is an optimized crystal structure of TcNiPt2, with properties calculated at the PBEsol level.

Cell and atoms, written as POSCAR:
```
TcNiPt2
1.0
2.688 0.000 0.000
0.000 2.688 0.000
0.000 0.000 7.486
Tc Ni Pt
1 1 2
Direct
0.000 0.000 0.000 Tc
0.000 0.000 0.500 Ni
0.500 0.500 0.256 Pt
0.500 0.500 0.744 Pt
```

Properties
energy	-32.00	eV/cell
SG	No. 123
energy above the most stable polymorph in this dataset	0	kJ/mol of formula units
calculated volume	13.52	Å³ per atom

---

Below is an optimized crystal structure of Ni2TePt, with properties calculated at the PBEsol level.

Cell and atoms, written as POSCAR:
```
Ni2TePt
1.0
6.094 0.000 0.000
0.000 6.094 0.000
0.000 0.000 6.094
Ni Te Pt
8 4 4
Direct
0.250 0.250 0.250 Ni
0.250 0.250 0.750 Ni
0.250 0.750 0.250 Ni
0.250 0.750 0.750 Ni
0.750 0.250 0.250 Ni
0.750 0.250 0.750 Ni
0.750 0.750 0.250 Ni
0.750 0.750 0.750 Ni
0.000 0.000 0.000 Te
0.000 0.500 0.500 Te
0.500 0.000 0.500 Te
0.500 0.500 0.000 Te
0.000 0.000 0.500 Pt
0.000 0.500 0.000 Pt
0.500 0.000 0.000 Pt
0.500 0.500 0.500 Pt
```

Properties
energy	-91.10	eV/cell
SG	No. 225
energy above the most stable polymorph in this dataset	0	kJ/mol of formula units
calculated volume	14.14	Å³ per atom
formation energy without anion corrections	0.17	kcal/mol of atoms

---

Below is an optimized crystal structure of Ni2TePt, with properties calculated at the PBEsol level.

Cell and atoms, written as POSCAR:
```
Ni2TePt
1.0
6.136 0.000 0.000
0.000 6.136 0.000
0.000 0.000 6.136
Ni Te Pt
8 4 4
Direct
0.000 0.000 0.000 Ni
0.000 0.500 0.500 Ni
0.250 0.250 0.250 Ni
0.250 0.750 0.750 Ni
0.500 0.000 0.500 Ni
0.500 0.500 0.000 Ni
0.750 0.250 0.750 Ni
0.750 0.750 0.250 Ni
0.000 0.000 0.500 Te
0.000 0.500 0.000 Te
0.500 0.000 0.000 Te
0.500 0.500 0.500 Te
0.250 0.250 0.750 Pt
0.250 0.750 0.250 Pt
0.750 0.250 0.250 Pt
0.750 0.750 0.750 Pt
```

Properties
energy	-89.60	eV/cell
SG	No. 216
energy above the most stable polymorph in this dataset	36	kJ/mol of formula units
calculated volume	14.44	Å³ per atom
formation energy without anion corrections	2.34	kcal/mol of atoms